Record 1
Compound: Ce8PuZn2
Source: Alexandria
Functional: PBE
Structure: optimized geometry

Computed properties:
* formation energy from the elements: -0.004 eV per atom

```
Ce8PuZn2
1.0
-1.0580 5.2575 0.8541
-7.3405 -4.0187 -2.9663
4.5174 -3.2390 6.9235
Zn Ce Pu
2 8 1
Direct
0.5035 0.6951 0.2944 Zn
0.5035 0.2944 0.6951 Zn
0.2202 0.8141 0.5549 Ce
0.3460 0.4063 0.4063 Ce
0.0220 0.8217 0.1993 Ce
0.6703 0.3418 0.1036 Ce
0.0220 0.1993 0.8217 Ce
0.6703 0.1036 0.3418 Ce
0.0079 0.7923 0.7923 Ce
0.2202 0.5549 0.8141 Ce
0.8142 0.0107 0.0107 Pu
```

Record 2
Compound: NaSm3Ru
Source: Alexandria
Functional: PBE
Structure: optimized geometry

Computed properties:
* formation energy from the elements: -0.005 eV per atom

```
NaSm3Ru
1.0
5.5246 0.0000 0.0000
0.0000 5.5246 0.0000
0.0000 0.0000 5.5246
Sm Na Ru
3 1 1
Direct
0.0000 0.0000 0.5000 Sm
0.5000 0.0000 0.0000 Sm
0.0000 0.5000 0.0000 Sm
0.5000 0.5000 0.5000 Na
0.0000 0.0000 0.0000 Ru
```

Record 3
Compound: KGaCo2
Source: Alexandria
Functional: PBE
Structure: optimized geometry

Computed properties:
* formation energy from the elements: 0.620 eV per atom

```
KGaCo2
1.0
-3.0087 1.5926 -3.2072
-2.0664 -4.1933 -0.1437
-7.8359 1.0994 4.4865
K Co Ga
2 4 2
Direct
0.5000 0.5000 0.0000 K
0.2500 0.7500 0.5000 K
0.3750 0.1248 0.7500 Co
0.8748 0.6250 0.2500 Co
0.8750 0.1252 0.7500 Co
0.8752 0.1250 0.2500 Co
0.7500 0.2500 0.5000 Ga
0.0000 0.0000 0.0000 Ga
```

Record 4
Compound: Tl2Hg
Source: Alexandria
Functional: PBE
Structure: optimized geometry

Computed properties:
* formation energy from the elements: 0.015 eV per atom

```
Tl2Hg
1.0
-3.2193 3.9397 2.0515
0.2594 -4.8925 2.4679
2.6007 1.1157 1.9385
Tl Hg
2 1
Direct
0.3333 0.6667 0.7298 Tl
0.6667 0.3333 0.2702 Tl
0.0000 0.0000 0.0000 Hg
```

Record 5
Compound: MgSiC3
Source: Alexandria
Functional: PBE
Structure: optimized geometry

Computed properties:
* raw formation energy: 3073 meV per atom

```
MgSiC3
1.0
4.0639 0.0000 0.0000
0.0000 4.0639 0.0000
0.0000 0.0000 4.0639
C Mg Si
3 1 1
Direct
0.0000 0.0000 0.5000 C
0.0000 0.5000 0.0000 C
0.5000 0.0000 0.0000 C
0.0000 0.0000 0.0000 Mg
0.5000 0.5000 0.5000 Si
```

Record 6
Compound: NaPdRh2
Source: Alexandria
Functional: PBE
Structure: optimized geometry

Computed properties:
* formation energy from the elements: 0.643 eV per atom

```
NaPdRh2
1.0
-4.2650 0.6571 -6.1593
6.1030 -0.8333 -4.3149
0.5603 -2.6090 -5.2577
Pd Na Rh
2 2 4
Direct
0.7500 0.2500 0.5000 Pd
0.0000 0.0000 0.0000 Pd
0.2500 0.7500 0.5000 Na
0.5000 0.5000 0.0000 Na
0.6643 0.1250 0.2500 Rh
0.8750 0.9143 0.7500 Rh
0.0857 0.6250 0.2500 Rh
0.3750 0.3357 0.7500 Rh
```

Record 7
Compound: Zn2HIrPd
Source: Alexandria
Functional: PBE
Structure: optimized geometry

Computed properties:
* E: -4.17 eV per atom

```
Zn2HIrPd
1.0
4.1765 0.0000 0.0000
0.0000 4.1765 0.0000
0.0000 0.0000 3.4835
Pd Zn Ir H
1 2 1 1
Direct
0.5000 0.5000 0.5000 Pd
0.0000 0.5000 0.0000 Zn
0.5000 0.0000 0.0000 Zn
0.0000 0.0000 0.5000 Ir
0.0000 0.0000 0.0000 H
```

| no. | DOS at the Fermi energy (states/eV/atom) |
| --- | --- |
| 1 | 2.5815 |
| 2 | 1.0061 |
| 3 | 1.0303 |
| 4 | 0.7812 |
| 5 | 0.4380 |
| 6 | 2.1580 |
| 7 | 0.2333 |